# PBE TaAlOs2, optimized geometry
data_TaAlOs2
_cell_length_a 4.371
_cell_length_b 4.371
_cell_length_c 3.150
_cell_angle_alpha 90.00
_cell_angle_beta 90.00
_cell_angle_gamma 90.00
_symmetry_space_group_name_H-M 'P 4/m m m'
_symmetry_Int_Tables_number 123
_symmetry_space_group_name_Hall '-P 4 2'
loop_
_atom_site_label
_atom_site_fract_x
_atom_site_fract_y
_atom_site_fract_z
_atom_site_occupancy
Ta1 0.000 0.000 0.000 1
Al1 0.500 0.500 0.000 1
Os1 0.000 0.500 0.500 1
# ρ: 16.238 g/cm³
# Magnetic moment: 0.00 μB per formula unit
# Uncorrected energy: -10.0063 eV/atom